Here is Ce2ScRu after structural relaxation from Alexandria. Energies are from PBE-GGA. Values from VASP.

Cell and atoms, written as Quantum ESPRESSO input:
```
&SYSTEM
  ibrav = 0, nat = 4, ntyp = 3
/
ATOMIC_SPECIES
Ce 140.12 Ce.upf
Sc 44.96 Sc.upf
Ru 101.07 Ru.upf
CELL_PARAMETERS angstrom
2.4007 1.3860 4.5645
-2.4007 1.3860 4.5645
0.0000 -2.7721 4.5645
ATOMIC_POSITIONS angstrom
Ce 0.0000 0.0000 3.3401
Ce 0.0000 0.0000 10.3535
Sc 0.0000 0.0000 0.0000
Ru 0.0000 0.0000 6.8468
```

Output
Formation energy from the elements ... 0.1 eV/f.u.
Offset from the most stable computed form ... 233 meV/atom
Total moment ... 0.00 μB/f.u.
Uncorrected energy ... -27.38 eV per cell